# GGA+U Cs2V2HgO7, optimized geometry
# - energy (eV per atom) = -5.970
# - M_tot (μB/atom) = 0.0000
# - D(E_F) (states/eV per cell) = 0.0
data_Cs2V2HgO7
_cell_length_a 6.2796
_cell_length_b 6.2796
_cell_length_c 22.1091
_cell_angle_alpha 90.00
_cell_angle_beta 90.00
_cell_angle_gamma 120.00
_space_group_name_H-M_alt 'R -3 m'
_space_group_IT_number 166
_space_group_name_Hall '-R 3 2"'
loop_
_atom_site_label
_atom_site_fract_x
_atom_site_fract_y
_atom_site_fract_z
_atom_site_occupancy
Cs1 0.0000 0.0000 0.2458 1
V1 0.0000 0.0000 0.4177 1
Hg1 0.0000 0.0000 0.0000 1
O1 0.0000 0.0000 0.5000 1
O2 0.0327 0.5164 0.2730 1